The following is a PBE calculation of a geometry-optimized Ca3U3PaN8 structure, from Alexandria.

Lattice parameters (Å, degrees): 7.041 7.041 7.008 120.16 90.00 120.00
Each line ends with the local moment (μB).
Fractional coordinates of all 15 atoms:
N: 0.742 0.483 0.725  -0.07
N: 0.228 0.457 0.690  -0.05
N: 0.734 0.962 0.690  -0.05
N: 0.228 0.962 0.690  -0.05
U: 0.500 0.000 0.500  1.51
U: 0.000 0.500 0.500  1.51
Ca: 0.000 0.000 0.000  0.05
Ca: 0.500 0.500 0.000  0.05
U: 0.500 0.500 0.500  1.51
N: 0.772 0.543 0.310  -0.05
N: 0.266 0.038 0.310  -0.05
N: 0.258 0.517 0.275  -0.07
Pa: 0.000 0.000 0.500  0.13
Ca: 0.000 0.500 0.000  0.05
N: 0.772 0.038 0.310  -0.05

**Uncorrected energy**: -134.86 eV/f.u.
**Raw formation energy**: -1.260 eV/atom


The following is a PBE calculation of a geometry-optimized Ca2UPaN4 structure, from Alexandria.

Lattice parameters (Å, degrees): 3.520 6.100 6.056 109.48 90.00 90.00
Each line ends with the local moment (μB).
Fractional coordinates of all 8 atoms:
U: 0.500 0.500 0.000  1.47
N: 0.500 0.241 0.214  -0.03
Pa: 0.000 0.000 0.000  0.25
Ca: 0.500 0.000 0.500  0.03
Ca: 0.000 0.500 0.500  0.03
N: 0.500 0.759 0.786  -0.03
N: 0.000 0.736 0.214  -0.05
N: 0.000 0.264 0.786  -0.05

**Uncorrected energy**: -68.89 eV/f.u.
**Raw formation energy**: -1.350 eV/atom


The following is a PBE calculation of a geometry-optimized Ca3UPa2N6 structure, from Alexandria.

Lattice parameters (Å, degrees): 3.530 7.019 7.846 102.34 103.00 90.00
Each line ends with the local moment (μB).
Fractional coordinates of all 12 atoms:
Pa: 0.166 0.332 0.332  0.20
Pa: 0.834 0.668 0.668  0.20
U: 0.500 0.000 0.000  1.53
Ca: 0.500 0.500 0.000  0.03
Ca: 0.834 0.168 0.667  0.02
N: 0.326 0.437 0.652  -0.01
N: 0.674 0.563 0.348  -0.01
N: 0.008 0.229 0.015  -0.05
N: 0.658 0.101 0.315  -0.03
N: 0.342 0.899 0.685  -0.03
Ca: 0.166 0.832 0.333  0.02
N: 0.992 0.771 0.985  -0.05

**Uncorrected energy**: -102.82 eV/f.u.
**Raw formation energy**: -1.382 eV/atom


The following is a PBE calculation of a geometry-optimized Ca4Pa3VN8 structure, from Alexandria.

Lattice parameters (Å, degrees): 6.928 6.949 6.929 119.90 120.00 90.00
Each line ends with the local moment (μB).
Fractional coordinates of all 16 atoms:
N: 0.267 0.285 0.026  -0.01
Ca: 0.500 0.000 0.000  -0.01
N: 0.241 0.715 0.974  -0.01
N: 0.740 0.720 0.480  0.01
Ca: 0.000 0.000 0.000  -0.01
N: 0.241 0.715 0.482  -0.01
N: 0.260 0.280 0.520  0.01
Pa: 0.000 0.500 0.500  -0.01
N: 0.733 0.715 0.974  -0.01
Ca: 0.500 0.000 0.500  -0.01
Pa: 0.500 0.500 0.500  -0.01
V: 0.000 0.500 0.000  1.93
N: 0.759 0.285 0.518  -0.01
Ca: 0.000 0.000 0.500  -0.01
N: 0.759 0.285 0.026  -0.01
Pa: 0.500 0.500 0.000  -0.01

**Uncorrected energy**: -133.46 eV/f.u.
**Raw formation energy**: -1.327 eV/atom